PBE Tb2Pm4Cd, optimized geometry; symmetry = C2/m, No. 12; formation energy = 30 meV/atom
1.0
8.380 -1.775 0.000
8.380 1.775 0.000
-3.952 0.000 7.664
Tb Pm Cd
2 4 1
direct
0.217 0.217 0.139
0.783 0.783 0.861
0.082 0.082 0.703
0.370 0.370 0.611
0.630 0.630 0.389
0.918 0.918 0.297
0.000 0.000 0.000